# LiInBr2 | Alexandria | PBE-GGA | relaxed
data_LiInBr2
_cell_length_a 8.4424
_cell_length_b 5.4177
_cell_length_c 3.8342
_cell_angle_alpha 88.53
_cell_angle_beta 65.09
_cell_angle_gamma 129.06
_space_group_name_H-M_alt 'P 1'
_space_group_IT_number 1
_space_group_name_Hall 'P 1'
loop_
_atom_site_label
_atom_site_type_symbol
_atom_site_fract_x
_atom_site_fract_y
_atom_site_fract_z
_atom_site_occupancy
Br1 Br 0.0000 0.0000 0.0000 1
Br2 Br 0.5000 0.0000 0.5000 1
In1 In 0.0000 0.5000 0.5000 1
Li1 Li 0.5000 0.5000 0.0000 1
# DFT total energy (eV per atom): -2.862
# Polymorph energy (0 for the lowest one) (kJ/mol of atoms): 19.59
# Formation energy from raw total energies (eV/f.u.): -3.45